# 1
VASP calculation (PBE) on CaZrMn after structural relaxation.

DFT formation energy   0.277 eV per atom
DFT total energy   -6.2964 eV/atom
ΔE to the lowest computed polymorph   0.0 kJ/mol of atoms
Magnetization   3.17 μB/cell

Cell lengths 3.487, 3.487, 11.570 Å; angles 90.00, 90.00, 90.00 degrees
Space group I4mm (No. 107)
Unique sites:
Ca1 0.000 0.000 0.000 x2
Zr1 0.000 0.000 0.278 x2
Mn1 0.000 0.000 0.687 x2



# 2
VASP calculation (PBE) on Tl5I5Cl after structural relaxation.

DFT total energy   -2.5655 eV/atom
Formation energy (no corrections)   -59.57 kJ/mol of atoms
Magnetization   0.00 μB/cell

Cell lengths 15.522, 6.722, 9.665 Å; angles 90.00, 108.58, 90.00 degrees
Space group C2/m (No. 12)
Unique sites:
Tl1 0.000 0.000 0.000 x2
Tl2 0.154 0.500 0.829 x4
Tl3 0.155 0.500 0.323 x4
I1 0.000 0.500 0.500 x2
I2 0.172 0.000 0.839 x4
I3 0.178 0.000 0.333 x4
Cl1 0.000 0.500 0.000 x2



# 3
VASP calculation (PBE) on CeSmZnN3 after structural relaxation.

DFT total energy   -7.0295 eV/atom
Formation energy (no corrections)   -84.81 kJ/mol of atoms
Magnetization   0.00 μB/cell

Cell lengths 7.185, 3.442, 7.508 Å; angles 90.00, 97.42, 90.00 degrees
Space group P2_1/m (No. 11)
Unique sites:
Ce1 0.192 0.250 0.176 x2
Sm1 0.183 0.250 0.638 x2
Zn1 0.405 0.750 0.901 x2
N1 0.125 0.750 0.869 x2
N2 0.148 0.750 0.394 x2
N3 0.467 0.750 0.182 x2



# 4
VASP calculation (PBE) on Y2NiGe after structural relaxation.

DFT formation energy   0.192 eV per atom
DFT total energy   -5.6402 eV/atom
Magnetization   0.00 μB/cell

Cell lengths 5.664, 5.664, 14.884 Å; angles 90.00, 90.00, 90.00 degrees
Space group I-42d (No. 122)
Unique sites:
Y1 0.230 0.250 0.125 x8
Ni1 0.000 0.000 0.000 x4
Ge1 0.000 0.000 0.500 x4